Density functional theory data (PBE-GGA) for a relaxed structure of AsHBr2.

Summary:
Calculated density ... 4.69 g cm⁻³
DOS at the Fermi energy ... 4.8 states/eV/cell
VASP energy ... -2.256 eV/atom
E above lowest polymorph ... 812.2 meV per atom

Lattice parameters (Å, degrees): 6.6687 6.6687 7.5048 90.00 90.00 90.00
Space group I-42d (No. 122)
Symmetry-distinct sites (fractional):
As1 0.0000 0.0000 0.0000 x4
H1 0.0000 0.0000 0.5000 x4
Br1 0.2064 0.2500 0.6250 x8